No. 1
{
  "formula": "RbSbPb2",
  "functional": "PBE",
  "state": "optimized geometry",
  "lattice": [[4.290, 0.000, 0.000], [0.000, 4.290, 0.000], [0.000, 0.000, 8.076]],
  "species": ["Rb", "Sb", "Pb", "Pb"],
  "fractional_positions": [[0.000, 0.000, 0.000], [0.000, 0.000, 0.500], [0.500, 0.500, 0.316], [0.500, 0.500, 0.684]],
  "m_tot_mub_per_fu": 0.000,
  "final_energy_ev_per_atom": -3.22,
  "formation_energy_uncorrected_mev_per_atom": -90.0
}

=====

No. 2
{
  "formula": "SrZrTe4",
  "functional": "PBE",
  "state": "optimized geometry",
  "lattice": [[0.000, 4.554, 4.554], [4.554, 0.000, 4.554], [4.554, 4.554, 0.000]],
  "species": ["Sr", "Zr", "Te", "Te", "Te", "Te"],
  "fractional_positions": [[0.000, 0.000, 0.000], [0.250, 0.250, 0.250], [0.127, 0.624, 0.624], [0.624, 0.127, 0.624], [0.624, 0.624, 0.127], [0.624, 0.624, 0.624]],
  "m_tot_mub_per_fu": 3.114,
  "final_energy_ev_per_atom": -3.61,
  "formation_energy_uncorrected_mev_per_atom": 190.0
}

=====

No. 3
{
  "formula": "AlSb2P",
  "functional": "PBE",
  "state": "optimized geometry",
  "lattice": [[-2.017, 2.017, 5.556], [2.017, -2.017, 5.556], [2.017, 2.017, -5.556]],
  "species": ["Al", "Sb", "Sb", "P"],
  "fractional_positions": [[0.000, 0.000, 0.000], [0.500, 0.500, 0.000], [0.750, 0.250, 0.500], [0.250, 0.750, 0.500]],
  "m_tot_mub_per_fu": 0.000,
  "final_energy_ev_per_atom": -3.98,
  "polymorph_energy_ev_per_fu": 1.59,
  "formation_energy_uncorrected_mev_per_atom": 370.9
}